# ZrMo2Os, relaxed, DFT PBE
data_ZrMo2Os
_cell_length_a 5.2527
_cell_length_b 5.2527
_cell_length_c 2.8282
_cell_angle_alpha 90.00
_cell_angle_beta 90.00
_cell_angle_gamma 119.76
_symmetry_space_group_name_H-M 'P 1'
_symmetry_Int_Tables_number 1
_symmetry_space_group_name_Hall 'P 1'
loop_
_atom_site_label
_atom_site_fract_x
_atom_site_fract_y
_atom_site_fract_z
_atom_site_occupancy
Zr1 0.0000 0.0000 0.0000 1
Mo1 0.0000 0.5000 0.5000 1
Mo2 0.5000 0.0000 0.5000 1
Os1 0.5000 0.5000 0.0000 1
# volume	16.9	A^3/atom
# DFT total energy	-10.1094	eV/atom
# theoretical density	11.60	Mg/m³
# DOS(E_F)	4.00	states/eV/f.u.
# SG	Cmmm (65)